# GGA+U Ca2HoWO6, relaxed
data_Ca2HoWO6
_symmetry_space_group_name_H-M 'P 1'
_symmetry_Int_Tables_number 1
_symmetry_space_group_name_Hall 'P 1'
_cell_length_a 5.640
_cell_length_b 5.819
_cell_length_c 8.159
_cell_angle_alpha 90.00
_cell_angle_beta 89.75
_cell_angle_gamma 90.00
loop_
_atom_site_label
_atom_site_fract_x
_atom_site_fract_y
_atom_site_fract_z
Ho1 0.500 0.000 0.000
Ho2 0.000 0.500 0.500
Ca1 0.010 0.949 0.254
Ca2 0.990 0.051 0.746
Ca3 0.510 0.551 0.754
Ca4 0.490 0.449 0.246
O1 0.827 0.783 0.941
O2 0.205 0.185 0.444
O3 0.391 0.952 0.738
O4 0.891 0.548 0.238
O5 0.295 0.685 0.056
O6 0.173 0.217 0.059
O7 0.609 0.048 0.262
O8 0.109 0.452 0.762
O9 0.795 0.815 0.556
O10 0.673 0.283 0.559
O11 0.705 0.315 0.944
O12 0.327 0.717 0.441
W1 0.500 0.000 0.500
W2 0.000 0.500 0.000
# density	6.51	g/cm3
# total DFT energy (no corrections)	-7.453	eV per atom